1.
A relaxed structure of TbSmGaPt, computed with PBE-GGA.

Results
Total magnetic moment: 0.000 μB/atom
Energy above the lowest structure with this stoichiometry: 90 meV/atom
Space-group type: No. 216

a b c (Å): 5.074 5.074 5.074
angles (deg): 60.00 60.00 60.00
Fractional positions:
Tb: 0.000 0.000 0.000
Sm: 0.500 0.500 0.500
Ga: 0.250 0.250 0.250
Pt: 0.750 0.750 0.750


2.
A relaxed structure of TbSmGa5Pt2, computed with PBE-GGA.

Results
Total magnetic moment: 0.000 μB/atom
E_tot: -4.73 eV/atom
Space-group type: No. 123

a b c (Å): 4.069 4.069 10.727
angles (deg): 90.00 90.00 90.00
Fractional positions:
Tb: 0.000 0.000 0.000
Sm: 0.000 0.000 0.500
Ga: 0.000 0.500 0.276
Ga: 0.000 0.500 0.724
Ga: 0.500 0.000 0.276
Ga: 0.500 0.000 0.724
Ga: 0.500 0.500 0.500
Pt: 0.500 0.500 0.123
Pt: 0.500 0.500 0.877


3.
A relaxed structure of SmThGaPt, computed with PBE-GGA.

Results
Total magnetic moment: 0.000 μB/atom
E_tot: -6.00 eV/atom
Space-group type: No. 216

a b c (Å): 5.153 5.153 5.153
angles (deg): 60.00 60.00 60.00
Fractional positions:
Sm: 0.000 0.000 0.000
Th: 0.500 0.500 0.500
Ga: 0.250 0.250 0.250
Pt: 0.750 0.750 0.750


4.
A relaxed structure of Sm2TiGa3Pt4, computed with PBE-GGA.

Results
Total magnetic moment: 0.000 μB/atom
E_tot: -6.02 eV/atom
Space-group type: No. 115

a b c (Å): 4.138 4.138 11.167
angles (deg): 90.00 90.00 90.00
Fractional positions:
Sm: 0.000 0.500 0.244
Sm: 0.500 0.000 0.756
Ti: 0.000 0.000 0.500
Ga: 0.000 0.500 0.866
Ga: 0.500 0.000 0.134
Ga: 0.500 0.500 0.500
Pt: 0.000 0.000 0.000
Pt: 0.000 0.500 0.642
Pt: 0.500 0.000 0.358
Pt: 0.500 0.500 0.000


5.
A relaxed structure of Sm2TmGa4Pt3, computed with PBE-GGA.

Results
Total magnetic moment: 0.000 μB/atom
E_tot: -5.31 eV/atom
Space-group type: No. 115

a b c (Å): 4.195 4.195 11.686
angles (deg): 90.00 90.00 90.00
Fractional positions:
Sm: 0.000 0.500 0.228
Sm: 0.500 0.000 0.772
Tm: 0.000 0.000 0.500
Ga: 0.000 0.000 0.000
Ga: 0.000 0.500 0.663
Ga: 0.500 0.000 0.337
Ga: 0.500 0.500 0.000
Pt: 0.000 0.500 0.874
Pt: 0.500 0.000 0.126
Pt: 0.500 0.500 0.500


6.
A relaxed structure of SmTm2Ga2Pt7, computed with PBE-GGA.

Results
Total magnetic moment: 0.000 μB/atom
E_tot: -6.11 eV/atom
Space-group type: No. 12

a b c (Å): 4.049 4.049 14.150
angles (deg): 97.30 97.30 89.36
Fractional positions:
Sm: 0.000 0.000 0.000
Tm: 0.141 0.141 0.358
Tm: 0.859 0.859 0.642
Ga: 0.384 0.384 0.736
Ga: 0.616 0.616 0.264
Pt: 0.070 0.570 0.160
Pt: 0.343 0.343 0.562
Pt: 0.430 0.930 0.840
Pt: 0.500 0.500 0.000
Pt: 0.570 0.070 0.160
Pt: 0.657 0.657 0.438
Pt: 0.930 0.430 0.840


Please write out number 2 again, unchanged.
A relaxed structure of TbSmGa5Pt2, computed with PBE-GGA.

Results
Total magnetic moment: 0.000 μB/atom
E_tot: -4.73 eV/atom
Space-group type: No. 123

a b c (Å): 4.069 4.069 10.727
angles (deg): 90.00 90.00 90.00
Fractional positions:
Tb: 0.000 0.000 0.000
Sm: 0.000 0.000 0.500
Ga: 0.000 0.500 0.276
Ga: 0.000 0.500 0.724
Ga: 0.500 0.000 0.276
Ga: 0.500 0.000 0.724
Ga: 0.500 0.500 0.500
Pt: 0.500 0.500 0.123
Pt: 0.500 0.500 0.877